{
  "formula": "CaBi2WO6",
  "functional": "PBE with a Hubbard U",
  "state": "relaxed",
  "rho_g_cm3": 8.273,
  "magnetic_moment_mub_per_cell": 4.0,
  "spacegroup": "P2_1/c (14)",
  "dft_energy_ev_per_atom": -6.506,
  "lattice": [[-3.014, 4.364, -2.259], [-3.173, -4.011, -3.515], [-5.606, -0.852, 6.033]],
  "species": ["W", "O", "O", "Bi", "O", "W", "Bi", "Ca", "O", "Bi", "Bi", "O", "Ca", "O", "O", "O", "O", "O", "O", "O"],
  "fractional_positions": [[0.000, 0.500, 0.000], [0.118, 0.430, 0.770], [0.307, 0.742, 0.411], [0.993, 0.061, 0.717], [0.172, 0.163, 0.477], [0.500, 0.000, 0.500], [0.507, 0.561, 0.783], [0.500, 0.000, 0.000], [0.693, 0.258, 0.589], [0.007, 0.939, 0.283], [0.493, 0.439, 0.217], [0.328, 0.663, 0.023], [0.000, 0.500, 0.500], [0.807, 0.758, 0.911], [0.382, 0.930, 0.730], [0.828, 0.837, 0.523], [0.672, 0.337, 0.977], [0.618, 0.070, 0.270], [0.882, 0.570, 0.230], [0.193, 0.242, 0.089]]
}